[1]
# Zn2IrPd, optimized geometry, DFT GGA-PBE
data_Zn2IrPd
_chemical_formula_sum 'Zn4 Ir2 Pd2'
_cell_length_a 2.634
_cell_length_b 4.772
_cell_length_c 10.138
_cell_angle_alpha 90.00
_cell_angle_beta 90.00
_cell_angle_gamma 90.00
_symmetry_space_group_name_H-M 'P 1'
_symmetry_Int_Tables_number 1
loop_
_symmetry_equiv_pos_as_xyz
'x,y,z'
loop_
_atom_site_label
_atom_site_fract_x
_atom_site_fract_y
_atom_site_fract_z
Zn1 0.000 0.000 0.250
Zn2 0.000 0.000 0.750
Zn3 0.500 0.500 0.250
Zn4 0.500 0.500 0.750
Ir1 0.000 0.000 0.000
Ir2 0.500 0.500 0.500
Pd1 0.000 0.000 0.500
Pd2 0.500 0.500 0.000
# V (Å³ per atom): 15.9
# Formation enthalpy at 0 K (eV per atom): 0.20

=====

[2]
# Zn4IrPd3, optimized geometry, DFT GGA-PBE
data_Zn4IrPd3
_chemical_formula_sum 'Zn4 Ir1 Pd3'
_cell_length_a 3.094
_cell_length_b 3.094
_cell_length_c 11.962
_cell_angle_alpha 90.00
_cell_angle_beta 90.00
_cell_angle_gamma 90.00
_symmetry_space_group_name_H-M 'P 1'
_symmetry_Int_Tables_number 1
loop_
_symmetry_equiv_pos_as_xyz
'x,y,z'
loop_
_atom_site_label
_atom_site_fract_x
_atom_site_fract_y
_atom_site_fract_z
Zn1 0.000 0.000 0.121
Zn2 0.000 0.000 0.374
Zn3 0.000 0.000 0.626
Zn4 0.000 0.000 0.879
Ir1 0.500 0.500 0.000
Pd1 0.500 0.500 0.251
Pd2 0.500 0.500 0.500
Pd3 0.500 0.500 0.749
# V (Å³ per atom): 14.3
# Formation enthalpy at 0 K (eV per atom): -0.46

=====

[3]
# ZnIr3Pd, optimized geometry, DFT GGA-PBE
data_ZnIr3Pd
_chemical_formula_sum 'Zn1 Ir3 Pd1'
_cell_length_a 4.758
_cell_length_b 4.758
_cell_length_c 4.758
_cell_angle_alpha 90.00
_cell_angle_beta 90.00
_cell_angle_gamma 90.00
_symmetry_space_group_name_H-M 'P 1'
_symmetry_Int_Tables_number 1
loop_
_symmetry_equiv_pos_as_xyz
'x,y,z'
loop_
_atom_site_label
_atom_site_fract_x
_atom_site_fract_y
_atom_site_fract_z
Zn1 0.000 0.000 0.000
Ir1 0.000 0.500 0.500
Ir2 0.500 0.000 0.500
Ir3 0.500 0.500 0.000
Pd1 0.500 0.500 0.500
# V (Å³ per atom): 21.5
# Formation enthalpy at 0 K (eV per atom): 2.06
# Energy above the most stable polymorph in this dataset (kJ/mol of formula units): 209